! NbHgSe2, optimized geometry, DFT PBE; values from VASP
! Symmetry = R-3m
&SYSTEM
  ibrav = 0, nat = 4, ntyp = 3
/
ATOMIC_SPECIES
Se 78.96 Se.upf
Nb 92.91 Nb.upf
Hg 200.59 Hg.upf
ATOMIC_POSITIONS crystal
Se 0.094 0.094 0.094
Se 0.906 0.906 0.906
Nb 0.000 0.000 0.000
Hg 0.500 0.500 0.500
CELL_PARAMETERS angstrom
2.145 0.000 8.571
-1.073 1.858 8.571
-1.073 -1.858 8.571



! NbHgSe2, optimized geometry, DFT PBE; values from VASP
! Symmetry = C2/c
&SYSTEM
  ibrav = 0, nat = 32, ntyp = 3
/
ATOMIC_SPECIES
Se 78.96 Se.upf
Hg 200.59 Hg.upf
Nb 92.91 Nb.upf
ATOMIC_POSITIONS crystal
Se 0.210 0.699 0.632
Hg 0.129 0.565 0.236
Se 0.056 0.148 0.244
Nb 0.693 0.301 0.493
Se 0.444 0.744 0.648
Se 0.790 0.301 0.368
Nb 0.177 0.045 0.571
Se 0.750 0.748 0.248
Se 0.891 0.909 0.187
Se 0.109 0.091 0.813
Nb 0.807 0.993 0.801
Se 0.710 0.868 0.801
Se 0.250 0.651 0.151
Se 0.944 0.852 0.756
Se 0.290 0.132 0.199
Nb 0.677 0.929 0.455
Se 0.609 0.687 0.409
Nb 0.823 0.955 0.429
Hg 0.469 0.333 0.962
Nb 0.323 0.071 0.545
Hg 0.871 0.435 0.764
Hg 0.969 0.538 0.167
Hg 0.371 0.736 0.065
Se 0.556 0.256 0.352
Hg 0.031 0.462 0.833
Hg 0.629 0.264 0.935
Nb 0.193 0.007 0.199
Se 0.250 0.252 0.752
Se 0.750 0.349 0.849
Hg 0.531 0.667 0.038
Nb 0.307 0.699 0.507
Se 0.391 0.313 0.591
CELL_PARAMETERS angstrom
-7.273 -16.870 -7.060
2.802 -2.407 -6.853
6.487 -0.518 4.273



! NbHgSe2, optimized geometry, DFT PBE; values from VASP
! Symmetry = Cmcm
&SYSTEM
  ibrav = 0, nat = 8, ntyp = 3
/
ATOMIC_SPECIES
Hg 200.59 Hg.upf
Se 78.96 Se.upf
Nb 92.91 Nb.upf
ATOMIC_POSITIONS crystal
Hg 0.308 0.692 0.250
Se 0.166 0.834 0.250
Se 0.938 0.062 0.250
Nb 0.047 0.953 0.250
Nb 0.953 0.047 0.750
Se 0.062 0.938 0.750
Hg 0.692 0.308 0.750
Se 0.834 0.166 0.750
CELL_PARAMETERS angstrom
4.965 9.750 -4.161
-6.140 -9.900 1.144
-3.988 2.638 1.423



The records above yield energy relative to the elements, uncorrected values of 0.42 -0.38 0.00 eV/atom, respectively.